1.
Material: LuMg2V3S8
Method: DFT, PBE-GGA
State: optimized geometry

Cell: 7.3377 7.3377 18.2380 Å, 90.00 90.00 120.00°
Space group R-3m (No. 166, hexagonal axes)
Inequivalent atoms, fractional coordinates:
Lu  0.0000  0.0000  0.0000 [3 per cell]
Mg  0.0000  0.0000  0.3738 [6 per cell]
V  0.0000  0.5000  0.5000 [9 per cell]
S  0.0000  0.0000  0.2380 [6 per cell]
S  0.0174  0.5087  0.7605 [18 per cell]

**Raw formation energy**: -16.643 eV per formula unit


2.
Material: Te2WAu2
Method: DFT, PBE-GGA
State: optimized geometry

Cell: 3.591 3.591 18.814 Å, 90.00 90.00 90.00°
Space group I4/mmm (No. 139)
Inequivalent atoms, fractional coordinates:
Te  0.000  0.000  0.084 [4 per cell]
W  0.000  0.000  0.500 [2 per cell]
Au  0.000  0.500  0.250 [4 per cell]

**Raw formation energy**: 2.570 eV per formula unit
**Excess energy over the best structure of this formula in the dataset**: 0.0 meV/atom


3.
Material: NiOsBr2
Method: DFT, PBE-GGA
State: optimized geometry

Cell: 3.1818 3.1818 27.5278 Å, 90.00 90.00 120.00°
Space group R3m (No. 160, hexagonal axes)
Inequivalent atoms, fractional coordinates:
Ni  0.0000  0.0000  0.0000 [3 per cell]
Os  0.0000  0.0000  0.2703 [3 per cell]
Br  0.0000  0.0000  0.5329 [3 per cell]
Br  0.0000  0.0000  0.7252 [3 per cell]

**Raw formation energy**: 2.083 eV per formula unit
**Excess energy over the best structure of this formula in the dataset**: 73.4 meV/atom


4.
Material: BaTl2SnRh
Method: DFT, PBE-GGA
State: optimized geometry

Cell: 5.335 5.335 5.276 Å, 90.00 90.00 90.00°
Space group P4/mmm (No. 123)
Inequivalent atoms, fractional coordinates:
Ba  0.000  0.000  0.000 [1 per cell]
Tl  0.000  0.500  0.500 [2 per cell]
Sn  0.500  0.500  0.000 [1 per cell]
Rh  0.500  0.500  0.500 [1 per cell]

**Formation energy**: -0.2333 eV/atom


5.
Material: MnGa3Bi
Method: DFT, PBE-GGA
State: optimized geometry

Cell: 4.777 4.777 4.777 Å, 90.00 90.00 90.00°
Space group Pm-3m (No. 221)
Inequivalent atoms, fractional coordinates:
Mn  0.000  0.000  0.000 [1 per cell]
Ga  0.000  0.000  0.500 [3 per cell]
Bi  0.500  0.500  0.500 [1 per cell]

**Formation energy**: 0.2279 eV/atom


6.
Material: YHo2Er2Mg5
Method: DFT, PBE-GGA
State: optimized geometry

Cell: 10.531 10.531 5.046 Å, 90.00 90.00 90.00°
Space group P4/mbm (No. 127)
Inequivalent atoms, fractional coordinates:
Y  0.000  0.000  0.000 [2 per cell]
Ho  0.178  0.322  0.000 [4 per cell]
Er  0.119  0.619  0.000 [4 per cell]
Mg  0.000  0.500  0.500 [2 per cell]
Mg  0.075  0.803  0.500 [8 per cell]

**Formation energy**: 0.0730 eV/atom


Please write out number 3 again, unchanged.
Material: NiOsBr2
Method: DFT, PBE-GGA
State: optimized geometry

Cell: 3.1818 3.1818 27.5278 Å, 90.00 90.00 120.00°
Space group R3m (No. 160, hexagonal axes)
Inequivalent atoms, fractional coordinates:
Ni  0.0000  0.0000  0.0000 [3 per cell]
Os  0.0000  0.0000  0.2703 [3 per cell]
Br  0.0000  0.0000  0.5329 [3 per cell]
Br  0.0000  0.0000  0.7252 [3 per cell]

**Raw formation energy**: 2.083 eV per formula unit
**Excess energy over the best structure of this formula in the dataset**: 73.4 meV/atom